## SrBe2Te (PBE)

Data for SrBe2Te after structural relaxation.

abc: 4.047 3.897 6.047
angles: 70.83 90.00 90.00
Sites, in units of the cell vectors:
Sr 0.000 0.462 0.447
Te 0.500 0.754 0.866
Be 0.000 0.173 0.037
Be 0.500 0.111 0.149

Results
total magnetic moment	0.0	μB/f.u.
electronic total energy	-11.94	eV/f.u.
raw formation energy	84.0	meV/atom
space-group type	Pm


## SrBeTe (PBE)

Data for SrBeTe after structural relaxation.

abc: 4.416 4.382 17.159
angles: 90.00 90.00 90.00
Sites, in units of the cell vectors:
Te 0.500 0.000 0.144
Sr 0.000 0.000 0.564
Be 0.500 0.000 0.996
Te 0.500 0.500 0.644
Be 0.500 0.500 0.496
Sr 0.000 0.500 0.064
Sr 0.500 0.500 0.300
Te 0.000 0.500 0.861
Be 0.500 0.000 0.446
Be 0.500 0.500 0.946
Sr 0.500 0.000 0.800
Te 0.000 0.000 0.361

Results
total magnetic moment	0.0	μB/f.u.
energy above the most stable polymorph in this dataset	0.055	eV/atom
electronic total energy	-10.25	eV/f.u.
raw formation energy	-568.2	meV/atom
space-group type	Amm2


## SrBeTe (PBE)

Data for SrBeTe after structural relaxation.

abc: 4.947 4.947 4.947
angles: 60.00 60.00 60.00
Sites, in units of the cell vectors:
Be 0.750 0.750 0.750
Te 0.500 0.500 0.500
Sr 0.000 0.000 0.000

Results
total magnetic moment	0.0	μB/f.u.
energy above the most stable polymorph in this dataset	0.579	eV/atom
electronic total energy	-8.68	eV/f.u.
raw formation energy	-43.7	meV/atom
space-group type	F-43m


## SrBeTe2 (PBE)

Data for SrBeTe2 after structural relaxation.

abc: 5.845 5.845 5.845
angles: 140.20 111.85 81.93
Sites, in units of the cell vectors:
Te 0.940 0.940 0.000
Sr 0.250 0.750 0.500
Te 0.560 0.560 0.000
Be 0.750 0.250 0.500

Results
total magnetic moment	0.0	μB/f.u.
electronic total energy	-13.76	eV/f.u.
raw formation energy	-517.9	meV/atom
space-group type	Immm


## SrBe2Te (PBE)

Data for SrBe2Te after structural relaxation.

abc: 3.638 3.638 6.718
angles: 90.00 90.00 96.38
Sites, in units of the cell vectors:
Be 0.000 0.000 0.035
Be 0.500 0.500 0.166
Sr 0.000 0.000 0.486
Te 0.500 0.500 0.813

Results
total magnetic moment	0.0	μB/f.u.
electronic total energy	-11.31	eV/f.u.
raw formation energy	242.2	meV/atom
space-group type	Cmm2


## SrBe3Te (PBE)

Data for SrBe3Te after structural relaxation.

abc: 5.466 5.466 5.466
angles: 90.00 90.00 90.00
Sites, in units of the cell vectors:
Te 0.500 0.500 0.500
Be 0.000 0.500 0.000
Be 0.500 0.000 0.000
Be 0.000 0.000 0.500
Sr 0.000 0.000 0.000

Results
total magnetic moment	0.0	μB/f.u.
energy above the most stable polymorph in this dataset	0.998	eV/atom
electronic total energy	-6.37	eV/f.u.
raw formation energy	1926.1	meV/atom
space-group type	Pm-3m


> What is the total magnetic moment in the third record?

0.0 μB/f.u.